(1)
# CdRe2SnCl PBE-GGA relaxed
# **Total magnetic moment**: 0.00 Bohr magnetons per cell
# **Calculated density**: 9.99 g/cm³
# **E**: -4.7206 eV per atom
# **Energy relative to the elements, uncorrected**: 1612 meV/atom
data_CdRe2SnCl
_cell_length_a 4.389
_cell_length_b 4.389
_cell_length_c 5.513
_cell_angle_alpha 90.00
_cell_angle_beta 90.00
_cell_angle_gamma 90.00
_symmetry_space_group_name_H-M 'P 4/m m m'
_symmetry_Int_Tables_number 123
_symmetry_space_group_name_Hall '-P 4 2'
loop_
_atom_site_label
_atom_site_fract_x
_atom_site_fract_y
_atom_site_fract_z
_atom_site_occupancy
Cd1 0.000 0.000 0.000 1
Re1 0.000 0.500 0.500 1
Sn1 0.500 0.500 0.000 1
Cl1 0.000 0.000 0.500 1



(2)
# Sc2IrAu PBE-GGA relaxed
# **Total magnetic moment**: 0.00 Bohr magnetons per cell
# **Calculated density**: 9.65 g/cm³
# **E**: -6.3868 eV per atom
# **Calculated formation energy**: -186 meV per atom
data_Sc2IrAu
_cell_length_a 3.1743
_cell_length_b 3.1743
_cell_length_c 28.3359
_cell_angle_alpha 90.00
_cell_angle_beta 90.00
_cell_angle_gamma 120.00
_symmetry_space_group_name_H-M 'R -3 m'
_symmetry_Int_Tables_number 166
_symmetry_space_group_name_Hall '-R 3 2"'
loop_
_atom_site_label
_atom_site_fract_x
_atom_site_fract_y
_atom_site_fract_z
_atom_site_occupancy
Sc1 0.0000 0.0000 0.0979 1
Ir1 0.0000 0.0000 0.5000 1
Au1 0.0000 0.0000 0.0000 1



(3)
# Er3IrCl3 PBE-GGA relaxed
# **Total magnetic moment**: 0.00 Bohr magnetons per cell
# **Calculated density**: 6.39 g/cm³
# **E**: -5.5595 eV per atom
# **Energy relative to the elements, uncorrected**: -1547 meV/atom
data_Er3IrCl3
_cell_length_a 6.7653
_cell_length_b 6.7653
_cell_length_c 31.5066
_cell_angle_alpha 90.00
_cell_angle_beta 90.00
_cell_angle_gamma 120.00
_symmetry_space_group_name_H-M 'R -3'
_symmetry_Int_Tables_number 148
_symmetry_space_group_name_Hall '-R 3'
loop_
_atom_site_label
_atom_site_fract_x
_atom_site_fract_y
_atom_site_fract_z
_atom_site_occupancy
Er1 0.0000 0.3682 0.4472 1
Ir1 0.0000 0.0000 0.1667 1
Cl1 0.0001 0.3126 0.6058 1